(1)
A plane-wave DFT calculation with PBE was carried out for an optimized crystal structure of CaAgRu2.

Cell: 2.7974 2.7974 8.9976 Å, 90.00 90.00 90.00°
Space group P4/mmm (No. 123)
Symmetry-distinct sites (fractional):
Ca 0.0000 0.0000 0.0000 [1 per cell]
Ag 0.0000 0.0000 0.5000 [1 per cell]
Ru 0.5000 0.5000 0.2638 [2 per cell]

Results
Formation enthalpy at 0 K   631 meV/atom
Total DFT energy (no corrections)   -5.221 eV/atom

---

(2)
A plane-wave DFT calculation with PBE was carried out for an optimized crystal structure of CaAgRu2.

Cell: 5.5317 9.7822 2.8396 Å, 90.00 116.56 90.00°
Space group C2/m (No. 12)
Symmetry-distinct sites (fractional):
Ca 0.0000 0.0000 0.0000 [2 per cell]
Ag 0.0000 0.5000 0.0000 [2 per cell]
Ru 0.2500 0.2500 0.5000 [4 per cell]

Results
Formation enthalpy at 0 K   480 meV/atom
Total DFT energy (no corrections)   -5.371 eV/atom

---

(3)
A plane-wave DFT calculation with PBE was carried out for an optimized crystal structure of Ca2AgRu2.

Cell: 8.6517 8.6517 2.9855 Å, 90.00 90.00 90.00°
Space group P4/mbm (No. 127)
Symmetry-distinct sites (fractional):
Ca 0.1907 0.3093 0.0000 [4 per cell]
Ag 0.0000 0.0000 0.0000 [2 per cell]
Ru 0.0937 0.5937 0.5000 [4 per cell]

Results
Formation enthalpy at 0 K   524 meV/atom
Total DFT energy (no corrections)   -4.557 eV/atom

---

(4)
A plane-wave DFT calculation with PBE was carried out for an optimized crystal structure of CaAgRu2.

Cell: 2.9861 2.9861 8.0642 Å, 90.00 90.00 90.00°
Space group P4mm (No. 99)
Symmetry-distinct sites (fractional):
Ca 0.0000 0.0000 0.0000 [1 per cell]
Ag 0.5000 0.5000 0.7021 [1 per cell]
Ru 0.0000 0.0000 0.4561 [1 per cell]
Ru 0.5000 0.5000 0.2733 [1 per cell]

Results
Formation enthalpy at 0 K   244 meV/atom
Total DFT energy (no corrections)   -5.607 eV/atom

---

(5)
A plane-wave DFT calculation with PBE was carried out for an optimized crystal structure of CaAgRu.

Cell: 6.5476 6.5476 6.5476 Å, 90.00 90.00 90.00°
Space group F-43m (No. 216)
Symmetry-distinct sites (fractional):
Ca 0.0000 0.0000 0.0000 [4 per cell]
Ag 0.2500 0.2500 0.2500 [4 per cell]
Ru 0.2500 0.2500 0.7500 [4 per cell]

Results
Formation enthalpy at 0 K   1067 meV/atom
Total DFT energy (no corrections)   -3.643 eV/atom

---

(6)
A plane-wave DFT calculation with PBE was carried out for an optimized crystal structure of CaAgRu2.

Cell: 2.9063 4.9415 4.9544 Å, 90.00 95.42 90.00°
Space group P2/m (No. 10)
Symmetry-distinct sites (fractional):
Ca 0.0000 0.0000 0.0000 [1 per cell]
Ag 0.5000 0.0000 0.5000 [1 per cell]
Ru 0.3250 0.5000 0.7490 [2 per cell]

Results
Formation enthalpy at 0 K   494 meV/atom
Total DFT energy (no corrections)   -5.357 eV/atom

---

(7)
A plane-wave DFT calculation with PBE was carried out for an optimized crystal structure of CaAgRu.

Cell: 2.8051 4.4782 9.1427 Å, 90.00 90.00 90.00°
Space group Imm2 (No. 44)
Symmetry-distinct sites (fractional):
Ca 0.0000 0.0000 0.0000 [2 per cell]
Ag 0.0000 0.0000 0.3206 [2 per cell]
Ru 0.0000 0.0000 0.6737 [2 per cell]

Results
Formation enthalpy at 0 K   377 meV/atom
Total DFT energy (no corrections)   -4.333 eV/atom

---

(8)
A plane-wave DFT calculation with PBE was carried out for an optimized crystal structure of CaAg2Ru.

Cell: 3.5071 3.5071 6.4380 Å, 90.00 90.00 90.00°
Space group P4/mmm (No. 123)
Symmetry-distinct sites (fractional):
Ca 0.0000 0.0000 0.0000 [1 per cell]
Ag 0.5000 0.5000 0.2860 [2 per cell]
Ru 0.0000 0.0000 0.5000 [1 per cell]

Results
Formation enthalpy at 0 K   330 meV/atom
Total DFT energy (no corrections)   -3.915 eV/atom